Entry 1:
# SCAN SrGeP2S, single point on PBEsol structure
data_SrGeP2S
_chemical_formula_sum 'Sr1 Ge1 P2 S1'
_symmetry_space_group_name_H-M 'P 4/m m m'
_symmetry_Int_Tables_number 123
_symmetry_space_group_name_Hall '-P 4 2'
_cell_length_a 5.264
_cell_length_b 5.264
_cell_length_c 5.262
_cell_angle_alpha 90.00
_cell_angle_beta 90.00
_cell_angle_gamma 90.00
loop_
_atom_site_label
_atom_site_fract_x
_atom_site_fract_y
_atom_site_fract_z
_atom_site_occupancy
Sr1 0.000 0.000 0.000 1
Ge1 0.500 0.500 0.500 1
P1 0.000 0.500 0.000 1
S1 0.000 0.000 0.500 1
# Density of states at the Fermi level ... 3.95 states/eV per cell
# Raw formation energy ... 1202 meV per atom
# Crystal system ... tetragonal
# Total energy ... -13.16 eV/atom

=====

Entry 2:
# SCAN RuSe, single point on PBEsol structure
data_RuSe
_chemical_formula_sum 'Ru4 Se4'
_symmetry_space_group_name_H-M 'C m c m'
_symmetry_Int_Tables_number 63
_symmetry_space_group_name_Hall '-C 2c 2'
_cell_length_a 3.081
_cell_length_b 10.275
_cell_length_c 3.848
_cell_angle_alpha 90.00
_cell_angle_beta 90.00
_cell_angle_gamma 90.00
loop_
_atom_site_label
_atom_site_fract_x
_atom_site_fract_y
_atom_site_fract_z
_atom_site_occupancy
Ru1 0.000 0.097 0.250 1
Se1 0.000 0.346 0.250 1
# Density of states at the Fermi level ... 5.26 states/eV per cell
# Raw formation energy ... 200 meV per atom
# Crystal system ... orthorhombic
# Total energy ... -27.25 eV/atom

=====

Entry 3:
# SCAN RePPtCl2, single point on PBEsol structure
data_RePPtCl2
_chemical_formula_sum 'Re1 P1 Pt1 Cl2'
_symmetry_space_group_name_H-M 'P 4/m m m'
_symmetry_Int_Tables_number 123
_symmetry_space_group_name_Hall '-P 4 2'
_cell_length_a 4.675
_cell_length_b 4.675
_cell_length_c 4.802
_cell_angle_alpha 90.00
_cell_angle_beta 90.00
_cell_angle_gamma 90.00
loop_
_atom_site_label
_atom_site_fract_x
_atom_site_fract_y
_atom_site_fract_z
_atom_site_occupancy
Re1 0.000 0.000 0.000 1
P1 0.500 0.500 0.000 1
Pt1 0.500 0.500 0.500 1
Cl1 0.000 0.500 0.500 1
# Density of states at the Fermi level ... 1.19 states/eV per cell
# Raw formation energy ... 1194 meV per atom
# Energy relative to the lowest polymorph listed for this composition ... 190 meV per atom
# Crystal system ... tetragonal
# Total energy ... -32.34 eV/atom

=====

Entry 4:
# SCAN Cu3H2C2O8, single point on PBEsol structure
data_Cu3H2C2O8
_chemical_formula_sum 'Cu6 H4 C4 O16'
_symmetry_space_group_name_H-M 'P 1 21/c 1'
_symmetry_Int_Tables_number 14
_symmetry_space_group_name_Hall '-P 2ybc'
_cell_length_a 4.877
_cell_length_b 5.857
_cell_length_c 10.386
_cell_angle_alpha 90.00
_cell_angle_beta 90.41
_cell_angle_gamma 90.00
loop_
_atom_site_label
_atom_site_fract_x
_atom_site_fract_y
_atom_site_fract_z
_atom_site_occupancy
Cu1 0.000 0.000 0.000 1
Cu2 0.248 0.001 0.583 1
H1 0.205 0.702 0.872 1
C1 0.337 0.194 0.815 1
O1 0.077 0.690 0.947 1
O2 0.106 0.089 0.829 1
O3 0.442 0.203 0.701 1
O4 0.456 0.215 0.413 1
# Crystal system ... monoclinic
# Total energy ... -9.30 eV/atom

=====

Entry 5:
# SCAN BaZnRu2, single point on PBEsol structure
data_BaZnRu2
_chemical_formula_sum 'Ba1 Zn1 Ru2'
_symmetry_space_group_name_H-M 'P 1 2/m 1'
_symmetry_Int_Tables_number 10
_symmetry_space_group_name_Hall '-P 2y'
_cell_length_a 2.926
_cell_length_b 4.351
_cell_length_c 6.127
_cell_angle_alpha 90.00
_cell_angle_beta 94.66
_cell_angle_gamma 90.00
loop_
_atom_site_label
_atom_site_fract_x
_atom_site_fract_y
_atom_site_fract_z
_atom_site_occupancy
Ba1 0.000 0.000 0.000 1
Zn1 0.500 0.000 0.500 1
Ru1 0.261 0.500 0.668 1
# Density of states at the Fermi level ... 3.74 states/eV per cell
# ΔH_f (0 K) ... 0.67 eV/atom
# Crystal system ... monoclinic
# Total energy ... -30.01 eV/atom

=====

Entry 6:
# SCAN BaSbPt2, single point on PBEsol structure
data_BaSbPt2
_chemical_formula_sum 'Ba4 Sb4 Pt8'
_symmetry_space_group_name_H-M 'I -4 2 d'
_symmetry_Int_Tables_number 122
_symmetry_space_group_name_Hall 'I -4 2bw'
_cell_length_a 5.223
_cell_length_b 5.223
_cell_length_c 17.489
_cell_angle_alpha 90.00
_cell_angle_beta 90.00
_cell_angle_gamma 90.00
loop_
_atom_site_label
_atom_site_fract_x
_atom_site_fract_y
_atom_site_fract_z
_atom_site_occupancy
Ba1 0.000 0.000 0.000 1
Sb1 0.000 0.000 0.500 1
Pt1 0.031 0.250 0.625 1
# Density of states at the Fermi level ... 6.62 states/eV per cell
# Raw formation energy ... -796 meV per atom
# Crystal system ... tetragonal
# Total energy ... -55.09 eV/atom

=====

Which of these has the lowest total energy? BaSbPt2